[1]
# Ba6As2Se3I | Alexandria | PBE | relaxed
data_Ba6As2Se3I
_symmetry_space_group_name_H-M 'C 1 2/m 1'
_symmetry_Int_Tables_number 12
_symmetry_space_group_name_Hall '-C 2y'
_cell_length_a 20.9837
_cell_length_b 4.6894
_cell_length_c 9.8215
_cell_angle_alpha 90.00
_cell_angle_beta 103.78
_cell_angle_gamma 90.00
loop_
_atom_site_label
_atom_site_type_symbol
_atom_site_fract_x
_atom_site_fract_y
_atom_site_fract_z
Ba1 Ba 0.0025 0.0000 0.2755
Ba2 Ba 0.1696 0.5000 0.5853
Ba3 Ba 0.1764 0.5000 0.0904
As1 As 0.1640 0.0000 0.3302
Se1 Se 0.0000 0.5000 0.5000
Se2 Se 0.1615 0.0000 0.8357
I1 I 0.0000 0.5000 0.0000
# Volume   938.6 Å³ per cell
# Spin magnetization   0.9 μB/f.u.
# Total DFT energy (no corrections)   -4.35 eV/atom
# Mass density   4.733 g/cm3
# Formation energy (no corrections)   -37.1 kcal/mol of atoms

=====

[2]
# CdSn3Os | Alexandria | PBE | relaxed
data_CdSn3Os
_symmetry_space_group_name_H-M 'P m -3 m'
_symmetry_Int_Tables_number 221
_symmetry_space_group_name_Hall '-P 4 2 3'
_cell_length_a 5.1836
_cell_length_b 5.1836
_cell_length_c 5.1836
_cell_angle_alpha 90.00
_cell_angle_beta 90.00
_cell_angle_gamma 90.00
loop_
_atom_site_label
_atom_site_type_symbol
_atom_site_fract_x
_atom_site_fract_y
_atom_site_fract_z
Cd1 Cd 0.0000 0.0000 0.0000
Sn1 Sn 0.0000 0.5000 0.5000
Os1 Os 0.5000 0.5000 0.5000
# Volume   139.3 Å³ per cell
# Spin magnetization   0.0 μB/f.u.
# Energy relative to the elements   0.3077 eV per atom
# Total DFT energy (no corrections)   -4.52 eV/atom
# Energy relative to the lowest polymorph listed for this composition   0.0 meV/atom
# Mass density   7.854 g/cm3

=====

Repeat the second record exactly.
# CdSn3Os | Alexandria | PBE | relaxed
data_CdSn3Os
_symmetry_space_group_name_H-M 'P m -3 m'
_symmetry_Int_Tables_number 221
_symmetry_space_group_name_Hall '-P 4 2 3'
_cell_length_a 5.1836
_cell_length_b 5.1836
_cell_length_c 5.1836
_cell_angle_alpha 90.00
_cell_angle_beta 90.00
_cell_angle_gamma 90.00
loop_
_atom_site_label
_atom_site_type_symbol
_atom_site_fract_x
_atom_site_fract_y
_atom_site_fract_z
Cd1 Cd 0.0000 0.0000 0.0000
Sn1 Sn 0.0000 0.5000 0.5000
Os1 Os 0.5000 0.5000 0.5000
# Volume   139.3 Å³ per cell
# Spin magnetization   0.0 μB/f.u.
# Energy relative to the elements   0.3077 eV per atom
# Total DFT energy (no corrections)   -4.52 eV/atom
# Energy relative to the lowest polymorph listed for this composition   0.0 meV/atom
# Mass density   7.854 g/cm3

=====

> What is the mass density in the first record?

4.733 g/cm3

=====

> Which of these has the lowest volume?

CdSn3Os

=====

> Number 2 is which compound?

CdSn3Os